[1]
Here is TiHg2Pt2 after structural relaxation from the Alexandria database. Energies are from PBE-GGA.

Values from the calculation:
- DFT formation energy (eV/atom) = -0.16
- raw total energy (eV per atom) = -4.28

Cell lengths 6.7000, 6.7000, 4.2739 Å; angles 90.00, 90.00, 90.00 degrees
Sites, in units of the cell vectors:
1 Ti 0.0000 0.0000 0.0000
2 Ti 0.5000 0.5000 0.0000
3 Hg 0.1692 0.3308 0.5000
4 Hg 0.3308 0.8308 0.5000
5 Hg 0.6692 0.1692 0.5000
6 Hg 0.8308 0.6692 0.5000
7 Pt 0.1399 0.6399 0.0000
8 Pt 0.3601 0.1399 0.0000
9 Pt 0.6399 0.8601 0.0000
10 Pt 0.8601 0.3601 0.0000



[2]
Here is TiHgPt after structural relaxation from the Alexandria database. Energies are from PBE-GGA.

Values from the calculation:
- DFT formation energy (eV/atom) = 0.24
- offset from the most stable computed form (meV per atom) = 592
- raw total energy (eV per atom) = -4.51

Cell lengths 7.8364, 7.8364, 7.8364 Å; angles 159.28, 159.28, 29.46 degrees
Sites, in units of the cell vectors:
1 Ti 0.0000 0.0000 0.0000
2 Hg 0.1894 0.1894 0.0000
3 Pt 0.8446 0.8446 0.0000



[3]
Here is TiHgPt3 after structural relaxation from the Alexandria database. Energies are from PBE-GGA.

Values from the calculation:
- DFT formation energy (eV/atom) = 1.35
- offset from the most stable computed form (meV per atom) = 812
- raw total energy (eV per atom) = -3.92

Cell lengths 4.9530, 4.9530, 4.9530 Å; angles 90.00, 90.00, 90.00 degrees
Sites, in units of the cell vectors:
1 Ti 0.0000 0.0000 0.0000
2 Hg 0.5000 0.5000 0.5000
3 Pt 0.0000 0.5000 0.5000
4 Pt 0.5000 0.0000 0.5000
5 Pt 0.5000 0.5000 0.0000